! PBE-GGA TaSeO2, optimized geometry; values from VASP
&SYSTEM
  ibrav = 0, nat = 8, ntyp = 3
/
ATOMIC_SPECIES
Ta 180.95 Ta.upf
Se 78.96 Se.upf
O 16.00 O.upf
CELL_PARAMETERS angstrom
0.000 4.324 4.324
4.324 0.000 4.324
4.324 4.324 0.000
ATOMIC_POSITIONS crystal
Ta 0.125 0.125 0.125
Ta 0.875 0.875 0.875
Se 0.375 0.375 0.375
Se 0.625 0.625 0.625
O 0.000 0.000 0.000
O 0.000 0.000 0.500
O 0.000 0.500 0.000
O 0.500 0.000 0.000
! spin magnetization	0.262	μB per atom
! formation energy without anion corrections	-1.56	eV/atom
! D(E_F)	4.964	states/eV per cell

***

! PBE-GGA VCSe2Br, optimized geometry; values from VASP
&SYSTEM
  ibrav = 0, nat = 5, ntyp = 4
/
ATOMIC_SPECIES
V 50.94 V.upf
C 12.01 C.upf
Se 78.96 Se.upf
Br 79.90 Br.upf
CELL_PARAMETERS angstrom
4.365 0.000 0.000
0.000 4.365 0.000
0.000 0.000 4.595
ATOMIC_POSITIONS crystal
V 0.000 0.000 0.000
C 0.500 0.500 0.500
Se 0.000 0.500 0.500
Se 0.500 0.000 0.500
Br 0.500 0.500 0.000
! spin magnetization	0.093	μB per atom
! formation energy without anion corrections	1.30	eV/atom
! D(E_F)	6.687	states/eV per cell
! distance to the lowest polymorph of the same formula	35.8	kJ/mol of formula units

***

! PBE-GGA ErZn4Re, optimized geometry; values from VASP
&SYSTEM
  ibrav = 0, nat = 6, ntyp = 3
/
ATOMIC_SPECIES
Er 167.26 Er.upf
Zn 65.41 Zn.upf
Re 186.21 Re.upf
CELL_PARAMETERS angstrom
0.000 3.613 3.613
3.613 0.000 3.613
3.613 3.613 0.000
ATOMIC_POSITIONS crystal
Er 0.000 0.000 0.000
Zn 0.376 0.376 0.376
Zn 0.376 0.376 0.871
Zn 0.376 0.871 0.376
Zn 0.871 0.376 0.376
Re 0.750 0.750 0.750
! total DFT energy (no corrections)	-22.51	eV per formula unit
! spin magnetization	0.000	μB per atom
! D(E_F)	5.596	states/eV per cell

***

- What is the D(E_F) in the first record?
  4.964 states/eV per cell